YVIO2: relaxed, GGA+U.

Output
Final energy, eV per atom: -6.118
Magnetization, μB/cell: 2.986
Excess energy over the best structure of this formula in the dataset, meV per atom: 0.0

a = 4.3458 Å, b = 4.3458 Å, c = 6.2155 Å
α = 90.00°, β = 90.00°, γ = 90.00°
With the nearest neighbours (Å) after each atom.
Fractional positions:
O: 0.0000 0.5000 0.0000  2 Y 2.17
O: 0.5000 0.0000 0.0000  2 Y 2.17
Y: 0.0000 0.0000 0.0000  4 O 2.17
V: 0.5000 0.5000 0.5000  4 I 3.07
I: 0.0000 0.0000 0.5000  4 V 3.07, 2 Y 3.11